DFT (PBE) results for crystalline ScAlHAu2 at its relaxed geometry.

Properties
E_tot = -0.220 Ry per atom

a b c (Å): 5.219 5.219 5.582
angles (deg): 90.00 90.00 90.00
Positions (direct):
1 Sc 0.000 0.000 0.000
2 Al 0.000 0.000 0.500
3 H 0.500 0.500 0.500
4 Au 0.000 0.500 0.000
5 Au 0.500 0.000 0.000

---

DFT (PBE) results for crystalline KBi2Pb3 at its relaxed geometry.

Properties
E_form = -0.10 eV/atom

a b c (Å): 9.372 9.372 8.981
angles (deg): 112.61 112.61 36.25
Positions (direct):
1 K 0.123 0.123 0.171
2 K 0.877 0.877 0.829
3 Bi 0.222 0.222 0.608
4 Bi 0.476 0.476 0.157
5 Bi 0.524 0.524 0.843
6 Bi 0.778 0.778 0.392
7 Pb 0.060 0.060 0.695
8 Pb 0.280 0.280 0.985
9 Pb 0.383 0.383 0.472
10 Pb 0.617 0.617 0.528
11 Pb 0.720 0.720 0.015
12 Pb 0.940 0.940 0.305

---

DFT (PBE) results for crystalline ScReBr3 at its relaxed geometry.

Properties
offset from the most stable computed form = 363 meV per atom
formation energy without anion corrections = 3.1 eV/f.u.

a b c (Å): 5.046 5.046 5.046
angles (deg): 90.00 90.00 90.00
Positions (direct):
1 Sc 0.000 0.000 0.000
2 Re 0.500 0.500 0.500
3 Br 0.000 0.500 0.500
4 Br 0.500 0.000 0.500
5 Br 0.500 0.500 0.000

---

DFT (PBE) results for crystalline LiMg2Ga at its relaxed geometry.

Properties
E_form = -0.08 eV/atom

a b c (Å): 3.155 3.155 28.472
angles (deg): 90.00 90.00 120.00
Positions (direct):
1 Li 0.000 0.000 0.000
2 Li 0.333 0.667 0.667
3 Li 0.667 0.333 0.333
4 Mg 0.000 0.000 0.579
5 Mg 0.000 0.000 0.753
6 Mg 0.333 0.667 0.246
7 Mg 0.333 0.667 0.419
8 Mg 0.667 0.333 0.086
9 Mg 0.667 0.333 0.912
10 Ga 0.000 0.000 0.166
11 Ga 0.333 0.667 0.833
12 Ga 0.667 0.333 0.499

---

DFT (PBE) results for crystalline RbPrIrO6 at its relaxed geometry.

Properties
formation energy without anion corrections = -12.6 eV/f.u.

a b c (Å): 5.834 5.834 6.062
angles (deg): 90.00 90.00 120.00
Positions (direct):
1 Rb 0.000 0.000 0.000
2 Pr 0.333 0.667 0.500
3 Ir 0.667 0.333 0.500
4 O 0.409 0.059 0.680
5 O 0.409 0.351 0.320
6 O 0.649 0.059 0.320
7 O 0.649 0.591 0.680
8 O 0.941 0.351 0.680
9 O 0.941 0.591 0.320

---

DFT (PBE) results for crystalline TePt2Se at its relaxed geometry.

Properties
offset from the most stable computed form = 496 meV per atom
formation energy without anion corrections = 0.7 eV/f.u.

a b c (Å): 6.700 6.700 6.700
angles (deg): 90.00 90.00 90.00
Positions (direct):
1 Te 0.000 0.000 0.000
2 Te 0.000 0.500 0.500
3 Te 0.500 0.000 0.500
4 Te 0.500 0.500 0.000
5 Pt 0.250 0.250 0.250
6 Pt 0.250 0.250 0.750
7 Pt 0.250 0.750 0.250
8 Pt 0.250 0.750 0.750
9 Pt 0.750 0.250 0.250
10 Pt 0.750 0.250 0.750
11 Pt 0.750 0.750 0.250
12 Pt 0.750 0.750 0.750
13 Se 0.000 0.000 0.500
14 Se 0.000 0.500 0.000
15 Se 0.500 0.000 0.000
16 Se 0.500 0.500 0.500

---

DFT (PBE) results for crystalline LiCd at its relaxed geometry.

Properties
E_form = 0.33 eV/atom

a b c (Å): 8.574 8.574 8.574
angles (deg): 90.00 90.00 90.00
Positions (direct):
1 Li 0.118 0.118 0.118
2 Li 0.118 0.882 0.882
3 Li 0.382 0.382 0.618
4 Li 0.382 0.618 0.382
5 Li 0.618 0.382 0.382
6 Li 0.618 0.618 0.618
7 Li 0.882 0.118 0.882
8 Li 0.882 0.882 0.118
9 Cd 0.199 0.199 0.801
10 Cd 0.199 0.801 0.199
11 Cd 0.301 0.301 0.301
12 Cd 0.301 0.699 0.699
13 Cd 0.699 0.301 0.699
14 Cd 0.699 0.699 0.301
15 Cd 0.801 0.199 0.199
16 Cd 0.801 0.801 0.801

---

DFT (PBE) results for crystalline Np3H12Ir5 at its relaxed geometry.

Properties
E_tot = -0.438 Ry per atom

a b c (Å): 10.032 10.032 10.032
angles (deg): 109.47 109.47 109.47
Positions (direct):
1 Np 0.125 0.250 0.375
2 Np 0.125 0.375 0.750
3 Np 0.250 0.375 0.125
4 Np 0.250 0.875 0.625
5 Np 0.375 0.125 0.250
6 Np 0.375 0.750 0.125
7 Np 0.625 0.250 0.875
8 Np 0.625 0.875 0.750
9 Np 0.750 0.125 0.375
10 Np 0.750 0.625 0.875
11 Np 0.875 0.625 0.250
12 Np 0.875 0.750 0.625
13 H 0.020 0.195 0.103
14 H 0.020 0.325 0.917
15 H 0.083 0.603 0.408
16 H 0.083 0.980 0.675
17 H 0.092 0.695 0.675
18 H 0.092 0.897 0.417
19 H 0.103 0.020 0.195
20 H 0.103 0.583 0.908
21 H 0.175 0.195 0.592
22 H 0.175 0.480 0.583
23 H 0.195 0.103 0.020
24 H 0.195 0.592 0.175
25 H 0.305 0.325 0.908
26 H 0.305 0.480 0.397
27 H 0.325 0.908 0.305
28 H 0.325 0.917 0.020
29 H 0.397 0.305 0.480
30 H 0.397 0.592 0.917
31 H 0.408 0.083 0.603
32 H 0.408 0.825 0.805
33 H 0.417 0.092 0.897
34 H 0.417 0.825 0.520
35 H 0.480 0.397 0.305
36 H 0.480 0.583 0.175
37 H 0.520 0.417 0.825
38 H 0.520 0.603 0.695
39 H 0.583 0.175 0.480
40 H 0.583 0.908 0.103
41 H 0.592 0.175 0.195
42 H 0.592 0.917 0.397
43 H 0.603 0.408 0.083
44 H 0.603 0.695 0.520
45 H 0.675 0.083 0.980
46 H 0.675 0.092 0.695
47 H 0.695 0.520 0.603
48 H 0.695 0.675 0.092
49 H 0.805 0.408 0.825
50 H 0.805 0.897 0.980
51 H 0.825 0.520 0.417
52 H 0.825 0.805 0.408
53 H 0.897 0.417 0.092
54 H 0.897 0.980 0.805
55 H 0.908 0.103 0.583
56 H 0.908 0.305 0.325
57 H 0.917 0.020 0.325
58 H 0.917 0.397 0.592
59 H 0.980 0.675 0.083
60 H 0.980 0.805 0.897
61 Ir 0.000 0.000 0.000
62 Ir 0.000 0.000 0.500
63 Ir 0.000 0.500 0.000
64 Ir 0.000 0.500 0.500
65 Ir 0.125 0.750 0.875
66 Ir 0.125 0.875 0.250
67 Ir 0.250 0.125 0.875
68 Ir 0.250 0.625 0.375
69 Ir 0.375 0.250 0.625
70 Ir 0.375 0.625 0.750
71 Ir 0.500 0.000 0.000
72 Ir 0.500 0.000 0.500
73 Ir 0.500 0.500 0.000
74 Ir 0.500 0.500 0.500
75 Ir 0.625 0.375 0.250
76 Ir 0.625 0.750 0.375
77 Ir 0.750 0.375 0.625
78 Ir 0.750 0.875 0.125
79 Ir 0.875 0.125 0.750
80 Ir 0.875 0.250 0.125

---

DFT (PBE) results for crystalline PrSmSc2Bi4 at its relaxed geometry.

Properties
E_form = -0.79 eV/atom

a b c (Å): 7.659 4.446 7.699
angles (deg): 90.00 109.56 90.00
Positions (direct):
1 Pr 0.000 0.000 0.000
2 Sm 0.000 0.500 0.500
3 Sc 0.500 0.000 0.500
4 Sc 0.500 0.500 0.000
5 Bi 0.272 0.000 0.755
6 Bi 0.274 0.500 0.260
7 Bi 0.726 0.500 0.740
8 Bi 0.728 0.000 0.245

---

DFT (PBE) results for crystalline Rb4Pu3HfO12 at its relaxed geometry.

Properties
formation energy without anion corrections = -51.4 eV/f.u.

a b c (Å): 7.391 7.391 7.391
angles (deg): 109.47 109.47 109.47
Positions (direct):
1 Rb 0.000 0.000 0.500
2 Rb 0.000 0.500 0.000
3 Rb 0.500 0.000 0.000
4 Rb 0.500 0.500 0.500
5 Pu 0.000 0.500 0.500
6 Pu 0.500 0.000 0.500
7 Pu 0.500 0.500 0.000
8 Hf 0.000 0.000 0.000
9 O 0.000 0.250 0.250
10 O 0.000 0.750 0.750
11 O 0.250 0.000 0.250
12 O 0.250 0.250 0.000
13 O 0.250 0.500 0.750
14 O 0.250 0.750 0.500
15 O 0.500 0.250 0.750
16 O 0.500 0.750 0.250
17 O 0.750 0.000 0.750
18 O 0.750 0.250 0.500
19 O 0.750 0.500 0.250
20 O 0.750 0.750 0.000

---

DFT (PBE) results for crystalline DyScAlOs at its relaxed geometry.

Properties
E_form = -0.34 eV/atom

a b c (Å): 6.786 6.786 6.786
angles (deg): 90.00 90.00 90.00
Positions (direct):
1 Dy 0.000 0.000 0.000
2 Dy 0.000 0.500 0.500
3 Dy 0.500 0.000 0.500
4 Dy 0.500 0.500 0.000
5 Sc 0.000 0.000 0.500
6 Sc 0.000 0.500 0.000
7 Sc 0.500 0.000 0.000
8 Sc 0.500 0.500 0.500
9 Al 0.250 0.250 0.250
10 Al 0.250 0.750 0.750
11 Al 0.750 0.250 0.750
12 Al 0.750 0.750 0.250
13 Os 0.250 0.250 0.750
14 Os 0.250 0.750 0.250
15 Os 0.750 0.250 0.250
16 Os 0.750 0.750 0.750

---

DFT (PBE) results for crystalline SiSnTe2 at its relaxed geometry.

Properties
offset from the most stable computed form = 201 meV per atom
formation energy without anion corrections = 1.3 eV/f.u.

a b c (Å): 7.493 7.493 7.493
angles (deg): 90.00 90.00 90.00
Positions (direct):
1 Si 0.000 0.000 0.000
2 Si 0.000 0.500 0.500
3 Si 0.500 0.000 0.500
4 Si 0.500 0.500 0.000
5 Sn 0.000 0.000 0.500
6 Sn 0.000 0.500 0.000
7 Sn 0.500 0.000 0.000
8 Sn 0.500 0.500 0.500
9 Te 0.250 0.250 0.250
10 Te 0.250 0.250 0.750
11 Te 0.250 0.750 0.250
12 Te 0.250 0.750 0.750
13 Te 0.750 0.250 0.250
14 Te 0.750 0.250 0.750
15 Te 0.750 0.750 0.250
16 Te 0.750 0.750 0.750

---

Size of the total moment: 0.6; 0.0; 0.0; 0.0; 0.8; 0.0; 0.0; 0.9; 0.0; 8.0; 0.0; 0.0 (μB/cell)